Compound: TbPmTh2Sb4
Source: Alexandria
Functional: PBE
Structure: optimized geometry

The crystal system is monoclinic. The formation energy from raw total energies comes out at -1.044 eV/atom. The uncorrected energy is -49.07 eV/f.u.

It has space group P2/m (No. 10), with a = 7.732 Å, b = 4.487 Å, c = 7.771 Å, α = 90.00°, β = 109.64° and γ = 90.00°. The inequivalent atoms are Tb at (0.000, 0.000, 0.000), Pm at (0.000, 0.500, 0.500), Th at (0.500, 0.000, 0.500), Th at (0.500, 0.500, 0.000), Sb at (0.245, 0.500, 0.246) and Sb at (0.247, 0.000, 0.751).